## RbCoSeO (PBE with a Hubbard U)

Data for a relaxed structure of RbCoSeO.

Lattice parameters (Å, degrees): 3.786 8.055 6.484 90.00 90.00 90.00
Element x y z (fractional)
Rb (0.000, 0.209, 0.000)
Rb (0.000, 0.791, 0.500)
Co (0.500, 0.407, 0.437)
Co (0.500, 0.593, 0.937)
Se (0.000, 0.222, 0.499)
Se (0.000, 0.778, 0.999)
O (0.500, 0.444, 0.154)
O (0.500, 0.556, 0.654)

energy relative to the lowest polymorph listed for this composition: 70 meV per atom
crystal system: orthorhombic